(1)
DFT (PBE) results for crystalline LiTlGeSe3 at its relaxed geometry.

Cell: 6.991 13.752 6.700 Å, 90.00 90.00 90.00°
Space group Cmcm (No. 63)
Inequivalent atoms, fractional coordinates:
Li: 0.000 0.086 0.250 [4 per cell]
Tl: 0.000 0.214 0.750 [4 per cell]
Ge: 0.000 0.443 0.250 [4 per cell]
Se: 0.000 0.271 0.250 [4 per cell]
Se: 0.248 0.000 0.000 [8 per cell]

Results
Uncorrected energy   -3.6636 eV/atom
Uncorrected formation energy   -0.44 eV per atom

(2)
DFT (PBE) results for crystalline La4Pr3Sc at its relaxed geometry.

Cell: 3.555 11.831 13.356 Å, 90.00 90.00 90.00°
Space group Immm (No. 71)
Inequivalent atoms, fractional coordinates:
La: 0.000 0.245 0.130 [8 per cell]
Pr: 0.000 0.000 0.500 [2 per cell]
Pr: 0.000 0.500 0.264 [4 per cell]
Sc: 0.000 0.000 0.000 [2 per cell]

Results
Uncorrected energy   -4.9419 eV/atom

| no. | DOS(E_F) (states/eV/cell) |
| --- | --- |
| 1 | 4.68 |
| 2 | 24.16 |